Density functional theory data (PBE) for an optimized crystal structure of V3RuC.

Geometry as POSCAR:
```
V3RuC
1.0
4.492 0.000 0.000
0.000 4.492 0.000
0.000 0.000 4.492
V Ru C
3 1 1
Direct
0.000 0.000 0.500
0.000 0.500 0.000
0.500 0.000 0.000
0.000 0.000 0.000
0.500 0.500 0.500
```

- DOS(E_F): 1.2835 states/eV per atom
- Distance to the lowest polymorph of the same formula: 2353 meV/atom
- Magnetization: 1.355 μB/cell
- Electronic total energy: -7.0066 eV per atom



Density functional theory data (PBE) for an optimized crystal structure of PaGa2.

Geometry as POSCAR:
```
PaGa2
1.0
4.182 -2.418 0.000
4.182 2.418 0.000
-0.007 0.000 6.193
Pa Ga
2 4
Direct
0.167 0.167 0.206
0.833 0.833 0.794
0.167 0.167 0.685
0.500 0.500 0.000
0.500 0.500 0.500
0.833 0.833 0.315
```

- DOS(E_F): 1.2918 states/eV per atom
- Magnetization: 0.000 μB/cell
- Electronic total energy: -5.3475 eV per atom



Density functional theory data (PBE) for an optimized crystal structure of SiRhBr2.

Geometry as POSCAR:
```
SiRhBr2
1.0
1.741 1.005 8.343
-1.741 1.005 8.343
0.000 -2.011 8.343
Si Rh Br
1 1 2
Direct
0.000 0.000 0.000
0.500 0.500 0.500
0.231 0.231 0.231
0.769 0.769 0.769
```

- DOS(E_F): 0.6161 states/eV per atom
- Distance to the lowest polymorph of the same formula: 682 meV/atom
- Magnetization: 0.000 μB/cell
- Electronic total energy: -3.5377 eV per atom
- Formation energy from raw total energies: 0.492 eV per atom



Density functional theory data (PBE) for an optimized crystal structure of AcZnInAu.

Geometry as POSCAR:
```
AcZnInAu
1.0
0.000 3.682 3.682
3.682 0.000 3.682
3.682 3.682 0.000
Ac Zn In Au
1 1 1 1
Direct
0.000 0.000 0.000
0.750 0.750 0.750
0.500 0.500 0.500
0.250 0.250 0.250
```

- DOS(E_F): 0.4588 states/eV per atom
- Magnetization: 0.000 μB/cell
- Electronic total energy: -3.3405 eV per atom



Density functional theory data (PBE) for an optimized crystal structure of Mg3SbC.

Geometry as POSCAR:
```
Mg3SbC
1.0
5.311 0.000 0.000
0.000 5.311 0.000
0.000 0.000 5.311
Mg Sb C
3 1 1
Direct
0.000 0.000 0.500
0.000 0.500 0.000
0.500 0.000 0.000
0.000 0.000 0.000
0.500 0.500 0.500
```

- DOS(E_F): 0.5349 states/eV per atom
- Distance to the lowest polymorph of the same formula: 1512 meV/atom
- Magnetization: 1.057 μB/cell
- Electronic total energy: -2.1241 eV per atom
- Formation energy from raw total energies: 1.502 eV per atom



Density functional theory data (PBE) for an optimized crystal structure of ScInI3.

Geometry as POSCAR:
```
ScInI3
1.0
6.013 0.000 0.000
0.000 6.013 0.000
0.000 0.000 6.013
Sc In I
1 1 3
Direct
0.000 0.000 0.000
0.500 0.500 0.500
0.000 0.500 0.500
0.500 0.000 0.500
0.500 0.500 0.000
```

- DOS(E_F): 2.9444 states/eV per atom
- Distance to the lowest polymorph of the same formula: 766 meV/atom
- Magnetization: 1.621 μB/cell
- Electronic total energy: -2.6668 eV per atom
- Formation energy from raw total energies: 0.077 eV per atom



Density functional theory data (PBE) for an optimized crystal structure of Mg2BeInC.

Geometry as POSCAR:
```
Mg2BeInC
1.0
4.779 0.000 0.000
0.000 4.779 0.000
0.000 0.000 3.490
Mg Be In C
2 1 1 1
Direct
0.000 0.500 0.000
0.500 0.000 0.000
0.000 0.000 0.500
0.500 0.500 0.500
0.000 0.000 0.000
```

- DOS(E_F): 0.2211 states/eV per atom
- Magnetization: 0.000 μB/cell
- Electronic total energy: -3.5604 eV per atom



Density functional theory data (PBE) for an optimized crystal structure of Nd6In3Pt.

Geometry as POSCAR:
```
Nd6In3Pt
1.0
9.365 0.000 0.000
0.000 12.046 0.000
0.000 0.000 5.369
Nd In Pt
12 6 2
Direct
0.011 0.239 0.000
0.158 0.082 0.500
0.184 0.415 0.500
0.316 0.915 0.000
0.342 0.582 0.000
0.489 0.739 0.500
0.511 0.261 0.500
0.658 0.418 0.000
0.684 0.085 0.000
0.816 0.585 0.500
0.842 0.918 0.500
0.989 0.761 0.000
0.000 0.500 0.000
0.155 0.725 0.500
0.345 0.225 0.000
0.500 0.000 0.500
0.655 0.775 0.000
0.845 0.275 0.500
0.000 0.000 0.000
0.500 0.500 0.500
```

- DOS(E_F): 1.0041 states/eV per atom
- Magnetization: 0.000 μB/cell
- Electronic total energy: -4.7484 eV per atom



Density functional theory data (PBE) for an optimized crystal structure of CrHg3Cl.

Geometry as POSCAR:
```
CrHg3Cl
1.0
5.407 0.000 0.000
0.000 5.407 0.000
0.000 0.000 5.407
Cr Hg Cl
1 3 1
Direct
0.000 0.000 0.000
0.000 0.000 0.500
0.000 0.500 0.000
0.500 0.000 0.000
0.500 0.500 0.500
```

- DOS(E_F): 0.1804 states/eV per atom
- Distance to the lowest polymorph of the same formula: 0 meV/atom
- Magnetization: 4.816 μB/cell
- Electronic total energy: -2.2988 eV per atom
- Formation energy from raw total energies: 0.176 eV per atom



Density functional theory data (PBE) for an optimized crystal structure of BaErIn2.

Geometry as POSCAR:
```
BaErIn2
1.0
3.945 0.000 0.000
0.000 3.945 0.000
0.000 0.000 8.171
Ba Er In
1 1 2
Direct
0.000 0.000 0.000
0.000 0.000 0.500
0.500 0.500 0.296
0.500 0.500 0.704
```

- DOS(E_F): 0.6499 states/eV per atom
- Distance to the lowest polymorph of the same formula: 0 meV/atom
- Magnetization: 0.000 μB/cell
- Electronic total energy: -3.4086 eV per atom



Density functional theory data (PBE) for an optimized crystal structure of Ho8CN3.

Geometry as POSCAR:
```
Ho8CN3
1.0
6.071 -3.501 0.000
6.071 3.501 0.000
-4.052 0.000 5.899
Ho C N
8 1 3
Direct
0.241 0.744 0.728
0.242 0.242 0.725
0.256 0.256 0.272
0.256 0.759 0.272
0.744 0.241 0.728
0.744 0.744 0.728
0.758 0.758 0.275
0.759 0.256 0.272
0.500 0.500 0.500
0.000 0.000 0.500
0.000 0.500 0.500
0.500 0.000 0.500
```

- DOS(E_F): 0.9236 states/eV per atom
- Magnetization: 0.000 μB/cell
- Electronic total energy: -6.8090 eV per atom
- Formation energy from raw total energies: -0.907 eV per atom



Density functional theory data (PBE) for an optimized crystal structure of HoHfMgGa.

Geometry as POSCAR:
```
HoHfMgGa
1.0
0.000 3.503 3.503
3.503 0.000 3.503
3.503 3.503 0.000
Ho Hf Mg Ga
1 1 1 1
Direct
0.000 0.000 0.000
0.500 0.500 0.500
0.750 0.750 0.750
0.250 0.250 0.250
```

- DOS(E_F): 0.7944 states/eV per atom
- Magnetization: 0.000 μB/cell
- Electronic total energy: -4.9418 eV per atom